The following is a DFT calculation (PBE) of a geometry-optimized Rb2MoAs structure.

As for the total moment: 0.81 μB/atom. As for the space-group type: No. 122. The volume is 475.6 Å³/cell. For the formation energy, the calculation gives 12.8 kcal/mol of atoms.

a = 10.146 Å, b = 10.146 Å, c = 10.146 Å
α = 93.35°, β = 93.35°, γ = 152.01°
Atoms (fractional coordinates):
Rb  0.375  0.120  0.245
Rb  0.870  0.625  0.745
Rb  0.875  0.130  0.755
Rb  0.880  0.125  0.255
Mo  0.000  0.000  0.000
Mo  0.750  0.250  0.500
As  0.250  0.750  0.500
As  0.500  0.500  0.000